## Na2YHf (PBE-GGA)

Data for crystalline Na2YHf at its relaxed geometry.

Calculated values
Distance to the lowest polymorph of the same formula   110.6 meV per atom
Fermi-level density of states   1.142 states/eV per atom
Space group   No. 122
Energy of formation from the pure elements   912.4 meV per atom
E_tot   -3.85 eV per atom

abc: 8.727 8.727 6.855
angles: 50.46 50.46 90.00
Sites, in units of the cell vectors:
1 Hf 0.750 0.250 0.500
2 Hf 0.000 0.000 0.000
3 Y 0.500 0.500 0.000
4 Y 0.250 0.750 0.500
5 Na 0.631 0.125 0.250
6 Na 0.875 0.881 0.750
7 Na 0.375 0.369 0.750
8 Na 0.119 0.625 0.250